# 1
# Tb8DyAl2, optimized geometry, DFT GGA-PBE
# formation energy from the elements: -0.104 eV per atom
# total DFT energy (no corrections): -4.570 eV/atom
# DOS(E_F): 13.0 states/eV/f.u.
# mass density: 7.7 g/cm³
# volume: 29.2 Å³/atom
data_Tb8DyAl2
_cell_length_a 16.508
_cell_length_b 5.183
_cell_length_c 8.223
_cell_angle_alpha 90.00
_cell_angle_beta 114.09
_cell_angle_gamma 90.00
_space_group_name_H-M_alt 'C 1 2/m 1'
_space_group_IT_number 12
_space_group_name_Hall '-C 2y'
loop_
_atom_site_label
_atom_site_fract_x
_atom_site_fract_y
_atom_site_fract_z
Tb1 0.055 0.000 0.233
Tb2 0.111 0.500 0.971
Tb3 0.153 0.000 0.720
Tb4 0.188 0.500 0.451
Dy1 0.000 0.500 0.500
Al1 0.224 0.000 0.142

# 2
# TbDyAl, optimized geometry, DFT GGA-PBE
# formation energy from the elements: -0.249 eV per atom
# total DFT energy (no corrections): -4.574 eV/atom
# DOS(E_F): 1.9 states/eV/f.u.
# mass density: 7.2 g/cm³
# volume: 26.7 Å³/atom
data_TbDyAl
_cell_length_a 3.447
_cell_length_b 3.447
_cell_length_c 13.482
_cell_angle_alpha 90.00
_cell_angle_beta 90.00
_cell_angle_gamma 90.00
_space_group_name_H-M_alt 'I 4 m m'
_space_group_IT_number 107
_space_group_name_Hall 'I 4 -2'
loop_
_atom_site_label
_atom_site_fract_x
_atom_site_fract_y
_atom_site_fract_z
Tb1 0.000 0.000 0.000
Dy1 0.000 0.000 0.703
Al1 0.000 0.000 0.351

# 3
# Tb6Dy12Al, optimized geometry, DFT GGA-PBE
# formation energy from the elements: 0.090 eV per atom
# total DFT energy (no corrections): -4.476 eV/atom
# DOS(E_F): 27.0 states/eV/f.u.
# mass density: 8.2 g/cm³
# volume: 31.3 Å³/atom
data_Tb6Dy12Al
_cell_length_a 11.7718
_cell_length_b 11.7718
_cell_length_c 14.8883
_cell_angle_alpha 90.00
_cell_angle_beta 90.00
_cell_angle_gamma 120.00
_space_group_name_H-M_alt 'R -3'
_space_group_IT_number 148
_space_group_name_Hall '-R 3'
loop_
_atom_site_label
_atom_site_fract_x
_atom_site_fract_y
_atom_site_fract_z
Tb1 0.0211 0.5917 0.1865
Dy1 0.0032 0.8292 0.3147
Dy2 0.0468 0.1961 0.9150
Al1 0.0000 0.0000 0.5000

# 4
# Tb5Dy12Al2, optimized geometry, DFT GGA-PBE
# formation energy from the elements: 0.017 eV per atom
# total DFT energy (no corrections): -4.502 eV/atom
# DOS(E_F): 26.3 states/eV/f.u.
# mass density: 8.1 g/cm³
# volume: 30.4 Å³/atom
data_Tb5Dy12Al2
_cell_length_a 15.095
_cell_length_b 9.264
_cell_length_c 8.265
_cell_angle_alpha 90.00
_cell_angle_beta 92.85
_cell_angle_gamma 90.00
_space_group_name_H-M_alt 'C 1 2/m 1'
_space_group_IT_number 12
_space_group_name_Hall '-C 2y'
loop_
_atom_site_label
_atom_site_fract_x
_atom_site_fract_y
_atom_site_fract_z
Tb1 0.000 0.000 0.000
Tb2 0.191 0.500 0.516
Tb3 0.232 0.000 0.073
Dy1 0.054 0.500 0.822
Dy2 0.077 0.000 0.379
Dy3 0.126 0.305 0.175
Dy4 0.142 0.186 0.728
Al1 0.000 0.331 0.500